K4CoSi2O7, relaxed, DFT GGA+U; volume = 16.7 Å³ per atom; energy = -6.048 eV per atom
1.0
6.0677 0.0000 0.0000
-1.8961 6.4841 0.0000
-1.1868 -3.1718 5.9542
K Co Si O
4 1 2 7
Cartesian
0.0287 -0.5900 1.6842
0.5637 3.0034 1.2912
2.4211 0.3088 4.6630
2.9561 3.9022 4.2700
3.0338 0.0000 0.0000
-0.6005 1.3908 4.3198
3.5854 1.9215 1.6344
-1.5414 1.6561 2.9771
-1.4825 1.9508 5.6160
-0.2055 -0.1644 4.3909
0.6737 2.4535 4.3048
2.3111 0.8588 1.6494
3.1903 3.4767 1.5634
4.4674 1.3615 0.3382